# V8SiB2 | the Alexandria database | PBE | relaxed
data_V8SiB2
_chemical_formula_sum 'V16 Si2 B4'
_space_group_name_H-M_alt 'C 1 2/m 1'
_space_group_IT_number 12
_cell_length_a 6.5650
_cell_length_b 9.9634
_cell_length_c 4.2024
_cell_angle_alpha 90.00
_cell_angle_beta 102.87
_cell_angle_gamma 90.00
loop_
_space_group_symop_operation_xyz
'x,y,z'
'-x,-y,-z'
'-x,y,-z'
'x,-y,z'
'x+1/2,y+1/2,z'
'-x+1/2,-y+1/2,-z'
'-x+1/2,y+1/2,-z'
'x+1/2,-y+1/2,z'
loop_
_atom_site_label
_atom_site_type_symbol
_atom_site_fract_x
_atom_site_fract_y
_atom_site_fract_z
V1 V 0.0000 0.2473 0.0000
V2 V 0.1077 0.5000 0.8186
V3 V 0.1997 0.1246 0.5653
Si1 Si 0.0000 0.0000 0.0000
B1 B 0.0000 0.3144 0.5000
# total DFT energy (no corrections)	-8.580	eV/atom
# uncorrected formation energy	-2.7	eV per formula unit


# V3SiB | the Alexandria database | PBE | relaxed
data_V3SiB
_chemical_formula_sum 'V6 Si2 B2'
_space_group_name_H-M_alt 'P 63/m m c'
_space_group_IT_number 194
_space_group_name_Hall '-P 6c 2c'
_cell_length_a 5.5153
_cell_length_b 5.5153
_cell_length_c 4.5877
_cell_angle_alpha 90.00
_cell_angle_beta 90.00
_cell_angle_gamma 120.00
loop_
_atom_site_label
_atom_site_type_symbol
_atom_site_fract_x
_atom_site_fract_y
_atom_site_fract_z
V1 V 0.1808 0.3616 0.2500
Si1 Si 0.3333 0.6667 0.7500
B1 B 0.0000 0.0000 0.0000
# total DFT energy (no corrections)	-8.159	eV/atom
# uncorrected formation energy	-1.3	eV per formula unit


# V12Si6B | the Alexandria database | PBE | relaxed
data_V12Si6B
_chemical_formula_sum 'V36 Si18 B3'
_space_group_name_H-M_alt 'R -3'
_space_group_IT_number 148
_space_group_name_Hall '-R 3'
_cell_length_a 10.0763
_cell_length_b 10.0763
_cell_length_c 9.1081
_cell_angle_alpha 90.00
_cell_angle_beta 90.00
_cell_angle_gamma 120.00
loop_
_atom_site_label
_atom_site_type_symbol
_atom_site_fract_x
_atom_site_fract_y
_atom_site_fract_z
V1 V 0.0403 0.8554 0.3702
V2 V 0.0760 0.8897 0.8626
Si1 Si 0.0298 0.6088 0.2886
B1 B 0.0000 0.0000 0.0000
# total DFT energy (no corrections)	-7.871	eV/atom
# uncorrected formation energy	-0.9	eV per formula unit


# V5Si3B | the Alexandria database | PBE | relaxed
data_V5Si3B
_chemical_formula_sum 'V10 Si6 B2'
_space_group_name_H-M_alt 'P 63/m c m'
_space_group_IT_number 193
_space_group_name_Hall '-P 6c 2'
_cell_length_a 7.2005
_cell_length_b 7.2005
_cell_length_c 4.8354
_cell_angle_alpha 90.00
_cell_angle_beta 90.00
_cell_angle_gamma 120.00
loop_
_atom_site_label
_atom_site_type_symbol
_atom_site_fract_x
_atom_site_fract_y
_atom_site_fract_z
V1 V 0.0000 0.2474 0.2500
V2 V 0.3333 0.6667 0.0000
Si1 Si 0.0000 0.4018 0.7500
B1 B 0.0000 0.0000 0.0000
# total DFT energy (no corrections)	-8.260	eV/atom
# uncorrected formation energy	-5.8	eV per formula unit


- Which of these has the lowest uncorrected formation energy?
  V5Si3B


- Among the records above, which one has the highest total DFT energy (no corrections)?
  V12Si6B


- What is the uncorrected formation energy in the fourth record?
  -5.8 eV per formula unit


- What is the formula in the second record?
  V3SiB